1.
Mg2ScPdBr: optimized geometry, PBE-GGA.

Computed properties:
As for the space-group type: P4/mmm, No. 123. Its energy relative to the elements, uncorrected is 0.45 eV/atom. The total magnetization comes out at 0.00 μB per formula unit.

Lattice parameters (Å, degrees): 5.973 4.732 5.973 90.00 90.00 90.00
Sites, in units of the cell vectors:
1 Sc 0.000 0.000 0.000
2 Mg 0.000 0.000 0.500
3 Mg 0.500 0.000 0.000
4 Br 0.500 0.500 0.500
5 Pd 0.000 0.500 0.000

2.
MgScPdBr2: optimized geometry, PBE-GGA.

Computed properties:
As for the space-group type: P4/mmm, No. 123. Its energy relative to the elements, uncorrected is -0.19 eV/atom. The total magnetization comes out at 0.93 μB per formula unit.

Lattice parameters (Å, degrees): 4.959 5.255 4.959 90.00 90.00 90.00
Sites, in units of the cell vectors:
1 Sc 0.500 0.500 0.500
2 Mg 0.000 0.000 0.000
3 Br 0.000 0.000 0.500
4 Br 0.500 0.000 0.000
5 Pd 0.000 0.500 0.000

3.
MgTe2PdBr: optimized geometry, PBE-GGA.

Computed properties:
As for the space-group type: P4/mmm, No. 123. Its energy relative to the elements, uncorrected is 0.43 eV/atom. The total magnetization comes out at 1.14 μB per formula unit.

Lattice parameters (Å, degrees): 5.437 5.031 5.437 90.00 90.00 90.00
Sites, in units of the cell vectors:
1 Mg 0.000 0.000 0.000
2 Te 0.000 0.000 0.500
3 Te 0.500 0.000 0.000
4 Br 0.500 0.500 0.500
5 Pd 0.000 0.500 0.000